The following is a PBE calculation of a relaxed structure of CeGaHgBi, from the Alexandria database.

abc: 4.5143 4.7195 4.7887
angles: 90.00 90.00 90.00
Positions (direct):
Ce1 0.0000 0.0000 0.0000
Ga1 0.5000 0.0000 0.5000
Hg1 0.0000 0.5000 0.5000
Bi1 0.5000 0.5000 0.0000

Output
polymorph energy (0 for the lowest one)	0.0000	eV per atom
SG	Pmmm
DFT formation energy	-1.696	eV/f.u.
size of the total moment	0.8	Bohr magnetons per cell


The following is a PBE calculation of a relaxed structure of La6InGa, from the Alexandria database.

abc: 5.0060 5.0060 9.9920
angles: 90.00 90.00 90.00
Positions (direct):
La1 0.0000 0.0000 0.0000
La2 0.0000 0.0000 0.5000
La3 0.0000 0.5000 0.2427
La4 0.0000 0.5000 0.7573
La5 0.5000 0.0000 0.2427
La6 0.5000 0.0000 0.7573
In1 0.5000 0.5000 0.5000
Ga1 0.5000 0.5000 0.0000

Output
SG	P4/mmm
DFT formation energy	-2.267	eV/f.u.
size of the total moment	0.0	Bohr magnetons per cell


The following is a PBE calculation of a relaxed structure of CrMo2Os, from the Alexandria database.

abc: 9.9558 9.9558 9.9558
angles: 158.95 158.95 29.95
Positions (direct):
Cr1 0.0000 0.0000 0.0000
Cr2 0.7500 0.2500 0.5000
Mo1 0.1162 0.6250 0.9912
Mo2 0.3750 0.3662 0.4912
Mo3 0.6338 0.1250 0.0088
Mo4 0.8750 0.8838 0.5088
Os1 0.2500 0.7500 0.5000
Os2 0.5000 0.5000 0.0000

Output
polymorph energy (0 for the lowest one)	0.7314	eV per atom
SG	I-42d
DFT formation energy	3.393	eV/f.u.
size of the total moment	3.7	Bohr magnetons per cell


The following is a PBE calculation of a relaxed structure of Ca2YMgS4, from the Alexandria database.

abc: 6.8153 3.9068 6.8193
angles: 90.00 109.56 90.00
Positions (direct):
Ca1 0.0000 0.0000 0.0000
Ca2 0.5000 0.5000 0.0000
Y1 0.0000 0.5000 0.5000
Mg1 0.5000 0.0000 0.5000
S1 0.2535 0.0000 0.7401
S2 0.2639 0.5000 0.2684
S3 0.7361 0.5000 0.7316
S4 0.7465 0.0000 0.2599

Output
SG	P2/m
ΔE_f (raw)	-1.88	eV per atom
size of the total moment	0.0	Bohr magnetons per cell


The following is a PBE calculation of a relaxed structure of Sm3TlI7, from the Alexandria database.

abc: 8.5177 8.5177 7.6192
angles: 90.00 90.00 120.00
Positions (direct):
Sm1 0.0187 0.5093 0.0000
Sm2 0.4907 0.5093 0.0000
Sm3 0.4907 0.9813 0.0000
Tl1 0.3333 0.6667 0.3716
I1 0.1648 0.3295 0.7442
I2 0.1648 0.8352 0.7442
I3 0.3283 0.1641 0.2382
I4 0.6667 0.3333 0.7517
I5 0.6705 0.8352 0.7442
I6 0.8359 0.1641 0.2382
I7 0.8359 0.6717 0.2382

Output
SG	P3m1
ΔE_f (raw)	-1.06	eV per atom
size of the total moment	0.9	Bohr magnetons per cell


The following is a PBE calculation of a relaxed structure of BeB2CS, from the Alexandria database.

abc: 2.9904 2.9904 7.5212
angles: 90.00 90.00 90.00
Positions (direct):
Be1 0.0000 0.0000 0.0000
B1 0.0000 0.5000 0.5000
B2 0.5000 0.0000 0.5000
C1 0.5000 0.5000 0.5000
S1 0.5000 0.5000 0.0000

Output
SG	P4/mmm
ΔE_f (raw)	0.73	eV per atom
size of the total moment	0.0	Bohr magnetons per cell


The following is a PBE calculation of a relaxed structure of AuSe3, from the Alexandria database.

abc: 5.1601 5.1601 5.1601
angles: 90.00 90.00 90.00
Positions (direct):
Au1 0.0000 0.0000 0.0000
Se1 0.0000 0.0000 0.5000
Se2 0.0000 0.5000 0.0000
Se3 0.5000 0.0000 0.0000

Output
SG	Pm-3m
ΔE_f (raw)	0.81	eV per atom
size of the total moment	0.6	Bohr magnetons per cell


The following is a PBE calculation of a relaxed structure of SnSb2W2, from the Alexandria database.

abc: 8.7900 8.7900 8.7900
angles: 155.07 155.07 35.54
Positions (direct):
Sn1 0.0000 0.0000 0.0000
Sb1 0.3768 0.3768 0.0000
Sb2 0.6232 0.6232 0.0000
W1 0.2500 0.7500 0.5000
W2 0.7500 0.2500 0.5000

Output
polymorph energy (0 for the lowest one)	0.0000	eV per atom
SG	I4/mmm
ΔE_f (raw)	0.49	eV per atom
size of the total moment	0.0	Bohr magnetons per cell